{"formula": "Rb2LiHg2Br6", "functional": "PBE", "state": "relaxed", "lattice_angstrom": [[-1.0382, 7.2486, -3.3219], [1.8081, -6.2848, -4.5473], [-8.0277, 0.2553, 3.0659]], "species": ["Hg", "Hg", "Li", "Rb", "Rb", "Br", "Br", "Br", "Br", "Br", "Br"], "frac_coords": [[0.0466, 0.0933, 0.1888], [0.9534, 0.9067, 0.8112], [0.5000, 0.0000, 0.5000], [0.7231, 0.4462, 0.1865], [0.2769, 0.5538, 0.8135], [0.7873, 0.1217, 0.7796], [0.7308, 0.4616, 0.5904], [0.2692, 0.5384, 0.4096], [0.2127, 0.8783, 0.2204], [0.3344, 0.1217, 0.7796], [0.6656, 0.8783, 0.2204]], "spacegroup": "C2/m", "raw_formation_energy_kj_per_mol_atoms": -99.16}

***

{"formula": "Ni2AgOs", "functional": "PBE", "state": "relaxed", "lattice_angstrom": [[-2.4780, -0.3331, 0.9431], [0.9092, -1.8001, 1.7532], [1.1788, 5.5067, 5.0427]], "species": ["Os", "Ni", "Ni", "Ag"], "frac_coords": [[0.0000, 0.0000, 0.4652], [0.0000, 0.0000, 0.0281], [0.5000, 0.5000, 0.2427], [0.5000, 0.5000, 0.7640]], "spacegroup": "P4mm", "ef_mev_per_atom": 360.2}

***

{"formula": "Si2SeBr", "functional": "PBE", "state": "relaxed", "lattice_angstrom": [[-3.6517, -2.6587, -2.1662], [0.0091, -2.3756, 4.4105], [-4.3356, -0.0693, 2.4163]], "species": ["Se", "Si", "Si", "Br"], "frac_coords": [[0.0000, 0.5000, 0.5000], [0.0000, 0.0000, 0.0000], [0.5000, 0.5000, 0.0000], [0.5000, 0.0000, 0.5000]], "spacegroup": "C2/m", "raw_formation_energy_kj_per_mol_atoms": 39.74}